DFT (GGA-PBE) results for a relaxed SnSb2Cl8 crystal.

Cell and atoms, written as CIF:
```
data_SnSb2Cl8
_symmetry_space_group_name_H-M 'C 1 2/m 1'
_symmetry_Int_Tables_number 12
_cell_length_a 11.501
_cell_length_b 9.797
_cell_length_c 6.863
_cell_angle_alpha 90.00
_cell_angle_beta 100.76
_cell_angle_gamma 90.00
loop_
_symmetry_equiv_pos_as_xyz
'x,y,z'
'-x,-y,-z'
'-x,y,-z'
'x,-y,z'
'x+1/2,y+1/2,z'
'-x+1/2,-y+1/2,-z'
'-x+1/2,y+1/2,-z'
'x+1/2,-y+1/2,z'
loop_
_atom_site_label
_atom_site_fract_x
_atom_site_fract_y
_atom_site_fract_z
Sn1 0.000 0.000 0.000
Sb1 0.206 0.500 0.542
Cl1 0.064 0.500 0.772
Cl2 0.136 0.000 0.721
Cl3 0.174 0.179 0.264
```

Summary:
Raw formation energy: -0.831 eV/atom
Total magnetization: 0.0 μB/f.u.
Distance to the lowest polymorph of the same formula: 0 meV/atom